Version w
# TiV3Cr

An optimized crystal structure of TiV3Cr (GGA-PBE, Alexandria).

- Fermi-level density of states (states/eV/f.u.) = 7.06

Cell lengths 2.9221, 7.0269, 7.5768 Å; angles 110.34, 101.12, 90.00 degrees
Closest atoms and distances in Å follow each position.
Atoms (fractional coordinates):
Ti (0.8847, 0.8387, 0.7694)  2 Cr 2.67, 6 V 2.74-2.94, 2 Ti 2.92
Ti (0.1153, 0.1613, 0.2306)  2 Cr 2.67, 6 V 2.74-2.94, 2 Ti 2.92
V (0.0454, 0.7147, 0.0909)  4 Cr 2.45-2.60, 2 V 2.51
V (0.9546, 0.2853, 0.9091)  4 Cr 2.45-2.60, 2 V 2.51
V (0.3138, 0.0974, 0.6276)  6 V 2.40-2.65
V (0.6862, 0.9026, 0.3724)  6 V 2.40-2.65
V (0.2249, 0.6260, 0.4498)  2 Cr 2.41, 4 V 2.60-2.65
V (0.7751, 0.3740, 0.5502)  2 Cr 2.41, 4 V 2.60-2.65
Cr (0.5914, 0.4577, 0.1829)  6 V 2.41-2.60, 2 Ti 2.67
Cr (0.4086, 0.5423, 0.8171)  6 V 2.41-2.60, 2 Ti 2.67

***

Version x
# TiV3Cr

An optimized crystal structure of TiV3Cr (GGA-PBE, Alexandria).

- Fermi-level density of states (states/eV/f.u.) = 7.27

Cell lengths 4.4035, 4.4035, 4.4035 Å; angles 90.00, 90.00, 90.00 degrees
Closest atoms and distances in Å follow each position.
Atoms (fractional coordinates):
Cr (0.5000, 0.5000, 0.5000)  12 V 3.11
V (0.0000, 0.5000, 0.0000)  2 Ti 2.20
V (0.0000, 0.0000, 0.5000)  2 Ti 2.20
V (0.5000, 0.0000, 0.0000)  2 Ti 2.20
Ti (0.0000, 0.0000, 0.0000)  6 V 2.20

***

Version y
# TiV3Cr

An optimized crystal structure of TiV3Cr (GGA-PBE, Alexandria).

- Fermi-level density of states (states/eV/f.u.) = 5.88

Cell lengths 4.3125, 4.3125, 4.3125 Å; angles 90.00, 90.00, 90.00 degrees
Closest atoms and distances in Å follow each position.
Atoms (fractional coordinates):
Cr (0.0000, 0.0000, 0.0000)  6 V 2.16
V (0.0000, 0.5000, 0.0000)  2 Cr 2.16
V (0.0000, 0.0000, 0.5000)  2 Cr 2.16
V (0.5000, 0.0000, 0.0000)  2 Cr 2.16
Ti (0.5000, 0.5000, 0.5000)  12 V 3.05

***

Version z
# TiV3Cr

An optimized crystal structure of TiV3Cr (GGA-PBE, Alexandria).

- Fermi-level density of states (states/eV/f.u.) = 5.87

Cell lengths 4.7875, 5.2645, 6.3292 Å; angles 114.57, 90.00, 90.00 degrees
Closest atoms and distances in Å follow each position.
Atoms (fractional coordinates):
Ti (0.2500, 0.4208, 0.8416)  8 V 2.84-2.93, 2 Ti 3.01, 4 Cr 3.03
Ti (0.7500, 0.5792, 0.1584)  8 V 2.84-2.93, 2 Ti 3.01, 4 Cr 3.03
V (0.2500, 0.8167, 0.6335)  2 V 2.33, 2 Cr 2.43
V (0.7500, 0.1833, 0.3665)  2 V 2.33, 2 Cr 2.43
V (0.2500, 0.4019, 0.2984)  2 V 2.33-2.60, 2 Cr 2.48
V (0.7500, 0.5981, 0.7016)  2 V 2.33-2.60, 2 Cr 2.48
V (0.2500, 0.8965, 0.2984)  2 V 2.33-2.60, 2 Cr 2.48
V (0.7500, 0.1035, 0.7016)  2 V 2.33-2.60, 2 Cr 2.48
Cr (0.0000, 0.0000, 0.0000)  2 Cr 2.39, 6 V 2.43-2.48
Cr (0.5000, 0.0000, 0.0000)  2 Cr 2.39, 6 V 2.43-2.48

***

Question: of the structures shown, which is the least stable? Reply: version x.